{"formula": "KRb4Tl", "functional": "PBE", "state": "relaxed", "sg": "C2/m (12)", "m_tot_mub_per_atom": 0.00, "crystal_system": "monoclinic", "dos_ef_per_ev_atom": 0.8159, "formation_energy_ev_per_atom": -0.01, "lattice_angstrom": [[7.493, -0.034, -2.611], [-1.362, 9.475, -4.034], [0.063, -0.400, 12.414]], "species": ["K", "K", "Rb", "Rb", "Rb", "Rb", "Rb", "Rb", "Rb", "Rb", "Tl", "Tl"], "fractional_positions": [[0.202, 0.199, 0.399], [0.798, 0.801, 0.601], [0.836, 0.337, 0.674], [0.623, 0.359, 0.240], [0.000, 0.215, 0.000], [0.377, 0.119, 0.760], [0.164, 0.663, 0.326], [0.377, 0.641, 0.760], [0.000, 0.785, 0.000], [0.623, 0.881, 0.240], [0.688, 0.496, 0.992], [0.312, 0.504, 0.008]]}